(1)
First-principles (meta-GGA SCAN) data for a crystal of BaCoSe2O6 relaxed with PBEsol, as listed in Alexandria.

## Properties
SG: Pnma (62)
Density: 5.12 Mg/m³
E_form (uncorrected): -1513 kJ/mol of formula units

abc: 14.862 5.479 7.179
angles: 90.00 90.00 90.00
Positions (direct):
1 Ba 0.119 0.250 0.071
2 Ba 0.381 0.750 0.571
3 Ba 0.619 0.250 0.429
4 Ba 0.881 0.750 0.929
5 Co 0.124 0.750 0.713
6 Co 0.376 0.250 0.213
7 Co 0.624 0.750 0.787
8 Co 0.876 0.250 0.287
9 Se 0.016 0.250 0.622
10 Se 0.230 0.250 0.538
11 Se 0.270 0.750 0.038
12 Se 0.484 0.750 0.122
13 Se 0.516 0.250 0.878
14 Se 0.730 0.250 0.962
15 Se 0.770 0.750 0.462
16 Se 0.984 0.750 0.378
17 O 0.025 0.008 0.778
18 O 0.025 0.492 0.778
19 O 0.096 0.750 0.437
20 O 0.155 0.750 0.993
21 O 0.224 0.006 0.691
22 O 0.224 0.494 0.691
23 O 0.276 0.506 0.191
24 O 0.276 0.994 0.191
25 O 0.345 0.250 0.493
26 O 0.404 0.250 0.937
27 O 0.475 0.508 0.278
28 O 0.475 0.992 0.278
29 O 0.525 0.008 0.722
30 O 0.525 0.492 0.722
31 O 0.596 0.750 0.063
32 O 0.655 0.750 0.507
33 O 0.724 0.006 0.809
34 O 0.724 0.494 0.809
35 O 0.776 0.506 0.309
36 O 0.776 0.994 0.309
37 O 0.845 0.250 0.007
38 O 0.904 0.250 0.563
39 O 0.975 0.508 0.222
40 O 0.975 0.992 0.222


(2)
First-principles (meta-GGA SCAN) data for a crystal of As2AuCl2 relaxed with PBEsol, as listed in Alexandria.

## Properties
SG: P4/mbm (127)
Energy relative to the lowest polymorph listed for this composition: 73.7 kJ per mole of atoms
Density: 6.89 Mg/m³
E_form (uncorrected): 232 kJ/mol of formula units

abc: 8.440 8.440 2.826
angles: 90.00 90.00 90.00
Positions (direct):
1 As 0.213 0.287 0.000
2 As 0.287 0.787 0.000
3 As 0.713 0.213 0.000
4 As 0.787 0.713 0.000
5 Au 0.000 0.000 0.500
6 Au 0.500 0.500 0.500
7 Cl 0.119 0.619 0.500
8 Cl 0.381 0.119 0.500
9 Cl 0.619 0.881 0.500
10 Cl 0.881 0.381 0.500


(3)
First-principles (meta-GGA SCAN) data for a crystal of Cd2TcTe relaxed with PBEsol, as listed in Alexandria.

## Properties
SG: I4/mmm (139)
Density: 9.83 Mg/m³
E_form (uncorrected): 181 kJ/mol of formula units

abc: 5.577 5.577 5.577
angles: 138.25 138.25 60.52
Positions (direct):
1 Cd 0.250 0.750 0.500
2 Cd 0.750 0.250 0.500
3 Tc 0.000 0.000 0.000
4 Te 0.500 0.500 0.000


(4)
First-principles (meta-GGA SCAN) data for a crystal of Ce3Al6Pt4 relaxed with PBEsol, as listed in Alexandria.

## Properties
SG: Pnma (62)
Calculated formation energy: -15.7 eV/f.u.
Density: 9.14 Mg/m³

abc: 13.598 4.236 17.187
angles: 90.00 90.00 90.00
Positions (direct):
1 Ce 0.074 0.250 0.153
2 Ce 0.128 0.750 0.695
3 Ce 0.200 0.750 0.475
4 Ce 0.300 0.250 0.975
5 Ce 0.372 0.250 0.195
6 Ce 0.426 0.750 0.653
7 Ce 0.574 0.250 0.347
8 Ce 0.628 0.750 0.805
9 Ce 0.700 0.750 0.025
10 Ce 0.800 0.250 0.525
11 Ce 0.872 0.250 0.305
12 Ce 0.926 0.750 0.847
13 Al 0.028 0.250 0.435
14 Al 0.043 0.750 0.310
15 Al 0.055 0.250 0.956
16 Al 0.170 0.750 0.870
17 Al 0.233 0.750 0.274
18 Al 0.246 0.750 0.113
19 Al 0.254 0.250 0.613
20 Al 0.267 0.250 0.774
21 Al 0.330 0.250 0.370
22 Al 0.445 0.750 0.456
23 Al 0.457 0.250 0.810
24 Al 0.472 0.750 0.935
25 Al 0.528 0.250 0.065
26 Al 0.543 0.750 0.190
27 Al 0.555 0.250 0.544
28 Al 0.670 0.750 0.630
29 Al 0.733 0.750 0.226
30 Al 0.746 0.750 0.387
31 Al 0.754 0.250 0.887
32 Al 0.767 0.250 0.726
33 Al 0.830 0.250 0.130
34 Al 0.945 0.750 0.044
35 Al 0.957 0.250 0.690
36 Al 0.972 0.750 0.565
37 Pt 0.076 0.250 0.574
38 Pt 0.082 0.250 0.811
39 Pt 0.125 0.750 0.010
40 Pt 0.151 0.250 0.324
41 Pt 0.349 0.750 0.824
42 Pt 0.375 0.250 0.510
43 Pt 0.418 0.750 0.311
44 Pt 0.424 0.750 0.074
45 Pt 0.576 0.250 0.926
46 Pt 0.582 0.250 0.689
47 Pt 0.625 0.750 0.490
48 Pt 0.651 0.250 0.176
49 Pt 0.849 0.750 0.676
50 Pt 0.875 0.250 0.990
51 Pt 0.918 0.750 0.189
52 Pt 0.924 0.750 0.426


(5)
First-principles (meta-GGA SCAN) data for a crystal of TiBSe2N relaxed with PBEsol, as listed in Alexandria.

## Properties
SG: P4/mmm (123)
Density: 5.31 Mg/m³
E_form (uncorrected): -15 kJ/mol of formula units

abc: 5.153 5.153 2.714
angles: 90.00 90.00 90.00
Positions (direct):
1 Ti 0.000 0.000 0.000
2 B 0.500 0.500 0.500
3 Se 0.000 0.500 0.500
4 Se 0.500 0.000 0.500
5 N 0.500 0.500 0.000


(6)
First-principles (meta-GGA SCAN) data for a crystal of ScTl2In relaxed with PBEsol, as listed in Alexandria.

## Properties
SG: C2/m (12)
Calculated formation energy: -0.7 eV/f.u.
Density: 9.78 Mg/m³

abc: 6.061 6.061 5.122
angles: 114.64 114.64 34.77
Positions (direct):
1 Sc 0.000 0.000 0.000
2 Tl 0.259 0.259 0.759
3 Tl 0.741 0.741 0.241
4 In 0.500 0.500 0.500


> What is the density in the sixth record?

9.78 Mg/m³